BaAl2Te4 (PBE-GGA, relaxed); DOS at the Fermi energy = 7.52 states/eV per cell; formation energy from raw total energies = -0.095 eV/atom; total magnetic moment = 1.2 μB/f.u.; offset from the most stable computed form = 0.805 eV per atom
1.0
6.3721 0.0000 0.0000
0.0000 6.3721 0.0000
3.1860 3.1860 7.4076
Te Ba Al
4 1 2
Direct
0.7513 0.7513 0.4975 Te
0.2487 0.2487 0.5025 Te
0.0000 0.5000 0.0000 Te
0.5000 0.0000 0.0000 Te
0.0000 0.0000 0.0000 Ba
0.5838 0.5838 0.8323 Al
0.4162 0.4162 0.1677 Al